A geometry-optimized Ta2V2Rh structure, computed with PBE.

Results
* uncorrected energy: -9.774 eV/atom
* ρ: 11.68 g/cm³

Lattice parameters (Å, degrees): 2.7581 2.7807 10.5965 82.46 90.00 90.00
Fractional coordinates of all 5 atoms:
V 0.0000 0.8027 0.3945
V 0.0000 0.1973 0.6055
Ta 0.5000 0.4047 0.1906
Ta 0.5000 0.5953 0.8094
Rh 0.0000 0.0000 0.0000